1:
VASP calculation (PBE) on crystalline SmScGe at its relaxed geometry.

```
data_SmScGe
_cell_length_a 4.2927
_cell_length_b 4.2927
_cell_length_c 7.9030
_cell_angle_alpha 90.00
_cell_angle_beta 90.00
_cell_angle_gamma 90.00
_symmetry_space_group_name_H-M 'P 4/n m m'
_symmetry_Int_Tables_number 129
loop_
_symmetry_equiv_pos_as_xyz
'x,y,z'
'-x,-y,-z'
'-y+1/2,x,z'
'y+1/2,-x,-z'
'-x+1/2,-y+1/2,z'
'x+1/2,y+1/2,-z'
'y,-x+1/2,z'
'-y,x+1/2,-z'
'x+1/2,-y,-z'
'-x+1/2,y,z'
'-y,-x,-z'
'y,x,z'
'-x,y+1/2,-z'
'x,-y+1/2,z'
'y+1/2,x+1/2,-z'
'-y+1/2,-x+1/2,z'
loop_
_atom_site_label
_atom_site_fract_x
_atom_site_fract_y
_atom_site_fract_z
_atom_site_occupancy
Sm1 0.2500 0.2500 0.1462 1
Sc1 0.2500 0.7500 0.5000 1
Ge1 0.2500 0.2500 0.7455 1
```

2:
VASP calculation (PBE) on crystalline SmScGe at its relaxed geometry.

```
data_SmScGe
_cell_length_a 4.2912
_cell_length_b 4.2912
_cell_length_c 15.8301
_cell_angle_alpha 90.00
_cell_angle_beta 90.00
_cell_angle_gamma 90.00
_symmetry_space_group_name_H-M 'I 4/m m m'
_symmetry_Int_Tables_number 139
_symmetry_space_group_name_Hall '-I 4 2'
loop_
_atom_site_label
_atom_site_fract_x
_atom_site_fract_y
_atom_site_fract_z
_atom_site_occupancy
Sm1 0.0000 0.0000 0.1767 1
Sc1 0.0000 0.5000 0.0000 1
Ge1 0.0000 0.0000 0.3751 1
```

3:
VASP calculation (PBE) on crystalline SmScGe at its relaxed geometry.

```
data_SmScGe
_cell_length_a 3.7652
_cell_length_b 3.7652
_cell_length_c 9.9148
_cell_angle_alpha 90.00
_cell_angle_beta 90.00
_cell_angle_gamma 90.00
_symmetry_space_group_name_H-M 'I 4 m m'
_symmetry_Int_Tables_number 107
_symmetry_space_group_name_Hall 'I 4 -2'
loop_
_atom_site_label
_atom_site_fract_x
_atom_site_fract_y
_atom_site_fract_z
_atom_site_occupancy
Sm1 0.0000 0.0000 0.0000 1
Sc1 0.0000 0.0000 0.7084 1
Ge1 0.0000 0.0000 0.3195 1
```

4:
VASP calculation (PBE) on crystalline SmScGe at its relaxed geometry.

```
data_SmScGe
_cell_length_a 6.7894
_cell_length_b 6.7894
_cell_length_c 6.7894
_cell_angle_alpha 90.00
_cell_angle_beta 90.00
_cell_angle_gamma 90.00
_symmetry_space_group_name_H-M 'F -4 3 m'
_symmetry_Int_Tables_number 216
_symmetry_space_group_name_Hall 'F -4 2 3'
loop_
_atom_site_label
_atom_site_fract_x
_atom_site_fract_y
_atom_site_fract_z
_atom_site_occupancy
Sm1 0.0000 0.0000 0.0000 1
Sc1 0.0000 0.0000 0.5000 1
Ge1 0.2500 0.2500 0.7500 1
```

Ranking the structures above by stability puts 2 first and 3 last.